Entry from Alexandria: a relaxed structure of Tb2Dy3Rh2 (PBE).

Unit cell a=3.794 b=6.318 c=8.920 alpha=114.96 beta=90.00 gamma=107.47
Positions (direct):
Tb1 0.834 0.667 0.192
Tb2 0.166 0.333 0.808
Dy1 0.500 0.000 0.000
Dy2 0.616 0.232 0.430
Dy3 0.384 0.768 0.570
Rh1 0.823 0.645 0.759
Rh2 0.177 0.355 0.241

uncorrected energy = -0.220 Ha/atom

Entry from Alexandria: a relaxed structure of TbDyRh2 (PBE).

Unit cell a=3.523 b=4.793 c=4.793 alpha=90.00 beta=90.00 gamma=90.00
Positions (direct):
Rh1 0.000 0.000 0.500
Rh2 0.000 0.500 0.000
Tb1 0.500 0.500 0.500
Dy1 0.500 0.000 0.000

uncorrected energy = -0.251 Ha/atom
E above lowest polymorph = 3 meV per atom